Entry 1:
# Tm9B5S21

A relaxed structure of Tm9B5S21 (PBE, the Alexandria database).

The structure in extended XYZ format:
```
70
Lattice="11.0666 -0.0449 -0.0482 -0.7847 11.0389 -0.0482 -0.7847 -0.8390 11.0070" Properties=species:S:1:pos:R:3 pbc="T T T"
S 3.6509 5.4859 6.9595
S 0.5189 7.0764 6.1888
S 3.5413 4.9353 10.3753
S 8.7076 2.5907 8.1165
Tm -0.3657 8.9634 7.9002
S 6.5494 5.8538 8.9576
S 5.2463 3.6651 2.7630
B 8.0495 4.5407 0.8156
Tm 7.2460 0.1191 9.5064
S 4.5912 -0.7042 9.9674
S 0.9268 -0.5881 10.2088
B -0.0512 8.0641 4.5875
S 3.0110 1.7536 9.0485
Tm 4.0825 5.9068 2.0988
S 3.3061 2.3632 5.6635
S 9.9705 6.9302 3.2884
Tm 4.7542 2.2195 0.6369
Tm 7.7265 5.4797 4.0287
S 6.6696 8.9630 10.9281
S 6.4725 0.6552 2.2314
Tm 9.1075 0.6588 2.5470
S 2.1076 3.2880 0.8776
S 1.7410 6.6037 0.8134
B 9.4772 2.3958 6.3487
S 6.2481 2.5340 10.6204
S 7.0259 6.1019 1.4318
Tm 1.8967 0.2847 4.9250
S 3.1397 0.7089 2.3797
B 4.9666 5.3105 5.7057
S 4.6875 10.0718 4.5968
S 2.1106 10.1342 7.1480
S 4.4526 8.7085 1.6725
Tm 8.9678 7.8631 0.7999
S 0.7442 4.5124 8.8060
Tm 4.9509 3.4398 8.3435
Tm 0.0484 1.8862 9.2902
S 5.2295 6.6544 4.4979
S 2.0027 7.4607 9.4201
Tm 4.6135 7.5662 10.1231
S 9.7359 4.2016 5.6660
S -1.0096 9.6169 5.2363
S 8.6784 3.5993 2.3975
Tm 7.2408 9.7310 5.8212
S 8.0582 7.1040 6.4806
S 9.7889 7.3405 9.7230
S 8.4971 10.3802 8.0183
S 10.1399 1.6084 0.1449
B 5.5133 9.8679 2.8446
S 5.4028 8.4383 7.5501
S 5.6185 0.8966 7.5017
B 1.8771 2.0071 2.1565
Tm 3.1010 7.9516 5.7543
S 1.5484 8.8016 3.7618
S 9.6629 5.2490 0.0118
S 2.1369 5.4013 3.8536
S 6.2898 4.0806 5.9704
S 8.3913 1.3082 5.1318
B 0.2127 0.2274 0.2444
Tm 1.3935 4.1851 6.0420
Tm 1.8788 9.2538 0.8396
S -0.6487 10.1191 1.6146
Tm 9.2251 5.2420 8.2721
S 0.4974 2.1457 3.3424
Tm 0.1573 4.7754 2.2594
B 1.7568 5.6434 10.0463
Tm 5.6206 1.7732 4.6072
B 3.9923 0.2162 8.3721
S 7.3101 9.2170 3.1656
S 0.2210 1.7597 6.6450
B 6.6352 7.0947 7.6226
```

Computed properties:
Final energy: -421.32 eV per cell
Formation energy (no corrections): -1.439 eV per atom
Total magnetic moment: 0.0 μB/f.u.

Entry 2:
# YSb2Cl

A relaxed structure of YSb2Cl (PBE, the Alexandria database).

The structure in extended XYZ format:
```
4
Lattice="-4.0865 2.9894 -3.1816 -1.3230 -4.7611 3.3675 -0.6100 2.1573 2.8105" Properties=species:S:1:pos:R:3 pbc="T T T"
Cl -0.9665 -1.3019 3.0890
Sb 0.0000 0.0000 0.0000
Sb -2.7047 -0.8858 0.0929
Y -2.3482 2.5734 -0.1855
```

Computed properties:
Final energy: -18.88 eV per cell
Relative energy among the computed polymorphs: 278.8 meV per atom
DOS(E_F): 1.6 states/eV per cell
Formation energy (no corrections): -0.581 eV per atom
Total magnetic moment: 0.0 μB/f.u.

Entry 3:
# Nd4Sb2Pb

A relaxed structure of Nd4Sb2Pb (PBE, the Alexandria database).

The structure in extended XYZ format:
```
14
Lattice="-8.0705 -2.0860 -2.2139 2.9825 -5.4414 5.9902 0.0471 8.0102 3.2123" Properties=species:S:1:pos:R:3 pbc="T T T"
Nd -5.8592 3.5523 0.9423
Nd -2.1406 5.1345 2.6962
Nd -5.6399 0.1922 3.8475
Pb 0.2434 -0.5964 5.5448
Sb -3.8902 2.6634 3.2719
Nd -1.9215 1.7745 5.6016
Nd -2.8610 1.3407 0.5733
Sb -3.9139 -1.3418 1.6657
Sb -2.4226 -4.0623 4.6608
Sb 0.1449 3.7064 4.3789
Pb 0.0466 8.0093 3.2127
Nd -4.9667 -4.0242 2.7581
Nd -6.7751 -0.7647 0.4104
Nd -1.0527 -1.9186 2.9211
```

Computed properties:
Final energy: -72.46 eV per cell
DOS(E_F): 12.8 states/eV per cell
Formation energy (no corrections): -0.744 eV per atom
Total magnetic moment: 0.0 μB/f.u.